(1)
This record from the Alexandria database describes crystalline Nb2ZnPb3O9 at its relaxed geometry. The functional is PBE-GGA.

Cell lengths 4.2909, 5.7849, 9.1274 Å; angles 72.56, 89.95, 89.21 degrees
Last column: nearest neighbours and their distance in Å.
Space group P1 (No. 1)
One atom of each set of equivalent atoms:
Nb: 0.0000 0.0000 0.0000 [1 per cell]  5 O 1.85-2.03
Nb: 0.0003 0.3477 0.3197 [1 per cell]  5 O 1.86-2.07
Zn: 0.0004 0.6345 0.6659 [1 per cell]  3 O 2.00-2.08
Pb: 0.4464 0.5142 0.9581 [1 per cell]  3 O 2.38-2.63
Pb: 0.4518 0.1014 0.6650 [1 per cell]  3 O 2.37-2.40
Pb: 0.4710 0.8081 0.3771 [1 per cell]  3 O 2.36-2.48
O: 0.0627 0.5331 0.4669 [1 per cell]  1 Nb 1.97, 1 Zn 2.08
O: 0.0708 0.3216 0.8442 [1 per cell]  1 Nb 2.00, 1 Zn 2.06
O: 0.0800 0.1599 0.1626 [1 per cell]  2 Nb 2.00-2.07
O: 0.0825 0.6614 0.1448 [1 per cell]  2 Nb 2.03-2.06
O: 0.0873 0.0411 0.4809 [1 per cell]  1 Nb 1.97
O: 0.0874 0.8476 0.8306 [1 per cell]  1 Nb 2.03, 1 Zn 2.25
O: 0.5403 0.7024 0.6530 [1 per cell]  1 Zn 2.00
O: 0.5679 0.3487 0.3184 [1 per cell]  1 Nb 1.86
O: 0.5684 0.9982 0.9949 [1 per cell]  1 Nb 1.85

Values from the calculation:
- V: 14.41 A^3/atom
- Raw total energy: -104.938 eV/cell
- D(E_F): 0.0 states/eV/f.u.

---

(2)
This record from the Alexandria database describes crystalline NbZnPb2O6 at its relaxed geometry. The functional is PBE-GGA.

Cell lengths 5.7820, 5.7820, 14.5998 Å; angles 90.00, 90.00, 120.00 degrees
Last column: nearest neighbours and their distance in Å.
Space group R3m (No. 160, hexagonal axes)
One atom of each set of equivalent atoms:
Nb: 0.0000 0.0000 0.0000 [3 per cell]  6 O 1.93-2.14
Zn: 0.0000 0.0000 0.4999 [3 per cell]  6 O 2.03-2.24
Pb: 0.0000 0.0000 0.2703 [3 per cell]  3 O 2.46
Pb: 0.0000 0.0000 0.7741 [3 per cell]  3 O 2.39
O: 0.1693 0.3386 0.0625 [9 per cell]  1 Nb 1.93
O: 0.1786 0.3572 0.5652 [9 per cell]  1 Zn 2.03, 1 Nb 2.14

Values from the calculation:
- V: 14.09 A^3/atom
- Raw total energy: -191.540 eV/cell
- Offset from the most stable computed form: 0.0401 eV per atom
- D(E_F): 7.3 states/eV/f.u.

---

Number 1: formation energy from raw total energies -1852 meV/atom. Number 2: formation energy from raw total energies -1534 meV/atom.